(1)
{
  "formula": "RbLaInGe2",
  "functional": "PBE",
  "state": "optimized geometry",
  "sg": "P4/mmm, No. 123",
  "n_ef_per_ev_cell": 4.56,
  "mass_density_g_cm3": 4.62,
  "e_form_mev_per_atom": 928,
  "cell": [[-4.030, 1.809, -3.371], [-1.856, -5.292, -0.622], [-3.361, 0.665, 4.375]],
  "species": ["Rb", "Ge", "Ge", "In", "La"],
  "frac_coords": [[0.000, 0.000, 0.000], [0.500, 0.000, 0.000], [0.000, 0.000, 0.500], [0.000, 0.500, 0.000], [0.500, 0.500, 0.500]]
}



(2)
{
  "formula": "ScB2Ir4",
  "functional": "PBE",
  "state": "optimized geometry",
  "sg": "Cm, No. 8",
  "n_ef_per_ev_cell": 8.31,
  "mass_density_g_cm3": 14.84,
  "e_form_mev_per_atom": -337,
  "cell": [[4.842, -0.122, -2.394], [-1.179, 4.873, -2.633], [0.075, 0.748, 7.440]],
  "species": ["Ir", "Ir", "Ir", "Ir", "Ir", "Ir", "Ir", "Ir", "B", "B", "B", "B", "Sc", "Sc"],
  "frac_coords": [[0.476, 0.236, 0.473], [0.550, 0.693, 0.861], [0.956, 0.060, 0.636], [0.956, 0.576, 0.636], [0.550, 0.168, 0.861], [0.855, 0.122, 0.244], [0.273, 0.523, 0.046], [0.855, 0.608, 0.216], [0.595, 0.887, 0.287], [0.829, 0.418, 0.836], [0.595, 0.400, 0.287], [0.220, 0.307, 0.614], [0.155, 0.012, 0.024], [0.385, 0.740, 0.480]]
}



(3)
{
  "formula": "LaHfH2",
  "functional": "PBE",
  "state": "optimized geometry",
  "sg": "Fm-3m, No. 225",
  "n_ef_per_ev_cell": 3.07,
  "mass_density_g_cm3": 8.92,
  "polymorph_energy_mev_per_atom": 593.1,
  "cell": [[0.000, 3.097, 3.097], [3.097, 0.000, 3.097], [3.097, 3.097, 0.000]],
  "species": ["H", "H", "Hf", "La"],
  "frac_coords": [[0.750, 0.750, 0.750], [0.250, 0.250, 0.250], [0.500, 0.500, 0.500], [0.000, 0.000, 0.000]]
}



| no. | M_tot (μB/f.u.) | uncorrected energy (eV/cell) |
| --- | --- | --- |
| 1 | 0.0 | -13.23 |
| 2 | 0.0 | -114.97 |
| 3 | 0.0 | -20.12 |